1.
Material: DyMg
Method: DFT, PBE
State: relaxed

Computed properties:
* volume: 87.8 Å³/cell

a b c (Å): 4.9883 4.9883 4.9883
angles (deg): 60.00 60.00 60.00
With the nearest neighbours (Å) after each atom.
Fractional positions:
Dy1 0.0000 0.0000 0.0000  4 Mg 3.05
Mg1 0.2500 0.2500 0.2500  4 Dy 3.05

=====

2.
Material: LiNbO
Method: DFT, PBE
State: relaxed

Computed properties:
* volume: 82.3 Å³/cell

a b c (Å): 6.7566 6.7566 4.3889
angles (deg): 90.00 90.00 155.75
With the nearest neighbours (Å) after each atom.
Fractional positions:
Li1 0.7075 0.2925 0.2825  3 O 1.85-1.98
Li2 0.2925 0.7075 0.7825  3 O 1.85-1.98
Nb1 0.4468 0.5532 0.4111  2 O 2.12
Nb2 0.5532 0.4468 0.9111  2 O 2.12
O1 0.8300 0.1700 0.4874  3 Li 1.85-1.98
O2 0.1700 0.8300 0.9874  3 Li 1.85-1.98

=====

no.,total energy (eV/atom)
1,-1.82
2,-6.83